# Y3Cd2Pb

Y3Cd2Pb after structural relaxation (PBE-GGA, Alexandria).

Output
ΔE_f in meV/atom: -407
Space-group type: Cmmm (65)

Unit cell a=3.814 b=5.290 c=8.436 alpha=108.27 beta=90.00 gamma=90.00
Positions (direct):
Y1 0.500 0.500 0.000
Y2 0.500 0.832 0.665
Y3 0.500 0.168 0.335
Cd1 0.000 0.326 0.651
Cd2 0.000 0.674 0.349
Pb1 0.000 0.000 0.000